Entry 1:
A plane-wave DFT calculation with PBE-GGA was carried out for Dy4Tm5Pu after structural relaxation.

Geometry as POSCAR:
```
Dy4Tm5Pu
1.0
-3.705 1.264 3.665
3.320 -0.189 7.345
0.007 7.976 1.181
Dy Pu Tm
4 1 5
Direct
0.500 0.676 0.324
0.500 0.324 0.676
0.176 0.324 0.324
0.824 0.676 0.676
0.006 0.000 0.000
0.816 0.368 0.000
0.816 0.000 0.368
0.184 0.000 0.632
0.184 0.632 0.000
0.505 0.000 0.000
```

Values from the calculation:
The calculation puts the energy above the most stable polymorph in this dataset at 208.2 meV/atom.

Entry 2:
A plane-wave DFT calculation with PBE-GGA was carried out for Dy5Tm2Pu after structural relaxation.

Geometry as POSCAR:
```
Dy5Tm2Pu
1.0
5.439 -0.534 3.116
-1.553 5.416 3.705
-2.634 -0.619 14.916
Tm Dy Pu
4 10 2
Direct
0.500 0.500 0.500
0.000 0.500 0.500
0.500 0.000 0.000
0.500 0.500 0.000
0.233 0.930 0.522
0.020 0.312 0.757
0.998 0.744 0.003
0.484 0.964 0.248
0.474 0.450 0.256
0.980 0.688 0.243
0.516 0.036 0.752
0.767 0.070 0.478
0.002 0.256 0.997
0.526 0.550 0.744
0.005 0.178 0.237
0.995 0.822 0.763
```

Values from the calculation:
The total energy is -89.8 eV for the cell shown.